## PmNdSmTm3 (PBE)

Data for crystalline PmNdSmTm3 at its relaxed geometry.

Lattice parameters (Å, degrees): 5.047 7.988 10.102 90.00 90.00 108.41
Fractional positions:
Tm 0.331 0.663 0.000
Tm 0.331 0.663 0.500
Tm 0.168 0.335 0.750
Tm 0.832 0.665 0.250
Tm 0.669 0.337 0.500
Tm 0.669 0.337 0.000
Nd 0.000 0.000 0.000
Nd 0.000 0.000 0.500
Pm 0.499 0.999 0.250
Pm 0.501 0.001 0.750
Sm 0.169 0.338 0.250
Sm 0.831 0.662 0.750

## Properties
**Calculated formation energy**: 24 meV per atom
**Raw total energy**: -4.5848 eV per atom
**Total magnetic moment**: 0.000 μB/cell
**Calculated density**: 8.13 g/cm³

=====

## Pm2NdSmTm (PBE)

Data for crystalline Pm2NdSmTm at its relaxed geometry.

Lattice parameters (Å, degrees): 7.234 8.448 7.218 125.82 90.00 90.00
Fractional positions:
Pm 0.500 0.311 0.000
Pm 0.000 0.689 0.000
Pm 0.500 0.689 0.000
Pm 0.000 0.311 0.000
Sm 0.250 0.992 0.983
Sm 0.750 0.008 0.017
Nd 0.250 0.728 0.456
Nd 0.750 0.272 0.544
Tm 0.250 0.271 0.542
Tm 0.750 0.729 0.458

## Properties
**Calculated formation energy**: 397 meV per atom
**Raw total energy**: -4.2954 eV per atom
**Total magnetic moment**: 0.000 μB/cell
**Calculated density**: 7.00 g/cm³

=====

## Pm6NdSm2Tm3 (PBE)

Data for crystalline Pm6NdSm2Tm3 at its relaxed geometry.

Lattice parameters (Å, degrees): 6.262 6.262 11.900 95.02 95.02 120.00
Fractional positions:
Sm 0.333 0.667 0.000
Sm 0.667 0.333 0.000
Pm 0.249 0.249 0.745
Pm 0.915 0.581 0.745
Pm 0.419 0.085 0.255
Pm 0.751 0.751 0.255
Pm 0.085 0.419 0.255
Pm 0.581 0.915 0.745
Tm 0.167 0.833 0.500
Tm 0.500 0.500 0.500
Tm 0.833 0.167 0.500
Nd 0.000 0.000 0.000

## Properties
**Calculated formation energy**: 17 meV per atom
**Raw total energy**: -4.6599 eV per atom
**Total magnetic moment**: 0.000 μB/cell
**Calculated density**: 7.60 g/cm³

=====

## PmNdSm2Tm5 (PBE)

Data for crystalline PmNdSm2Tm5 at its relaxed geometry.

Lattice parameters (Å, degrees): 8.672 8.672 9.824 116.19 116.19 90.00
Fractional positions:
Nd 0.750 0.250 0.500
Nd 0.250 0.750 0.500
Tm 0.072 0.572 0.728
Tm 0.344 0.844 0.272
Tm 0.572 0.656 0.728
Tm 0.928 0.428 0.272
Tm 0.000 0.000 0.000
Tm 0.428 0.344 0.272
Tm 0.844 0.928 0.272
Tm 0.656 0.156 0.728
Tm 0.500 0.500 0.000
Tm 0.156 0.072 0.728
Sm 0.117 0.383 0.000
Sm 0.617 0.117 0.000
Sm 0.883 0.617 0.000
Sm 0.383 0.883 0.000
Pm 0.250 0.250 0.500
Pm 0.750 0.750 0.500

## Properties
**Calculated formation energy**: 259 meV per atom
**Raw total energy**: -4.3316 eV per atom
**Total magnetic moment**: 0.000 μB/cell
**Calculated density**: 8.25 g/cm³